First-principles (PBE-GGA) data for a relaxed Tb2Sm2Er15 crystal, as listed in Alexandria via LeMat-Bulk.

Results
Calculated density = 8.334 Mg/m³
Formation energy from the elements = 0.29 eV per atom
M_tot = 0.000 μB/f.u.
D(E_F) = 1.92 states/eV per atom
Space group = R-3m, No. 166
Uncorrected energy = -81.7 eV/cell

```
Tb2Sm2Er15
1.0
-3.090 7.399 3.283
-3.019 3.727 -7.215
-8.403 -2.009 0.646
Tb Sm Er
2 2 15
Direct
0.099 0.099 0.099
0.901 0.901 0.901
0.326 0.326 0.326
0.674 0.674 0.674
0.000 0.000 0.500
0.500 0.000 0.000
0.000 0.500 0.000
0.300 0.700 0.000
0.000 0.300 0.700
0.700 0.000 0.300
0.000 0.700 0.300
0.300 0.000 0.700
0.700 0.300 0.000
0.632 0.632 0.149
0.149 0.632 0.632
0.632 0.149 0.632
0.368 0.368 0.851
0.851 0.368 0.368
0.368 0.851 0.368
```

---

First-principles (PBE-GGA) data for a relaxed Tb2GdAu crystal, as listed in Alexandria via LeMat-Bulk.

Results
Calculated density = 10.504 Mg/m³
Formation energy from the elements = -0.24 eV per atom
M_tot = 7.418 μB/f.u.
D(E_F) = 1.37 states/eV per atom
Space group = P4/mmm, No. 123
Excess energy over the best structure of this formula in the dataset = 0.152 eV per atom
Uncorrected energy = -27.6 eV/cell

```
Tb2GdAu
1.0
-0.380 1.280 3.532
-2.851 -4.295 1.249
4.441 -2.541 1.399
Tb Gd Au
2 1 1
Direct
0.000 0.000 0.500
0.000 0.500 0.000
0.500 0.500 0.500
0.500 0.000 0.000
```

---

First-principles (PBE-GGA) data for a relaxed Cs2U3HgS8 crystal, as listed in Alexandria via LeMat-Bulk.

Results
Calculated density = 4.926 Mg/m³
M_tot = 4.000 μB/f.u.
D(E_F) = 1.17 states/eV per atom
Space group = R3m, No. 160
Formation energy from raw total energies = -1226 meV per atom
Uncorrected energy = -86.1 eV/cell

```
Cs2U3HgS8
1.0
-1.946 -5.580 5.504
0.060 -7.827 -1.989
7.599 -5.006 3.536
Cs U Hg S
2 3 1 8
Direct
0.140 0.140 0.581
0.500 0.500 0.499
0.500 0.997 0.003
0.997 0.500 0.003
0.500 0.500 0.003
0.861 0.861 0.416
0.278 0.278 0.167
0.720 0.720 0.840
0.237 0.237 0.841
0.686 0.237 0.841
0.237 0.686 0.841
0.764 0.310 0.162
0.310 0.764 0.162
0.764 0.764 0.162
```

---

Q: The highest uncorrected energy belongs to which entry?
A: Tb2GdAu

---

Q: What is the uncorrected energy in the second record?
A: -27.6 eV/cell

---

Q: calculated density of number 3 (Cs2U3HgS8)?
A: 4.926 Mg/m³